SmCoC2 | PBE | optimized geometry

a = 3.752 Å, b = 3.752 Å, c = 7.368 Å
α = 82.01°, β = 82.01°, γ = 90.05°
Fractional positions:
C: 0.145 0.510 0.226
Co: 0.627 0.487 0.306
Sm: 0.928 0.071 0.999
Co: 0.487 0.627 0.806
C: 0.407 0.557 0.072
Sm: 0.071 0.928 0.499
C: 0.510 0.145 0.726
C: 0.557 0.407 0.572

## Properties
Symmetry: No. 9
Mass density in Mg/m³: 7.62
D(E_F) in states/eV per cell: 2.58
ΔH_f (0 K) in eV per atom: -0.3041
V in Å³ per cell: 101.7
Total moment in μB per atom: 0.000

---

Sm2Co17C2 | PBE | optimized geometry

a = 6.413 Å, b = 6.366 Å, c = 6.366 Å
α = 84.13°, β = 83.84°, γ = 83.84°
Fractional positions:
C: 0.500 0.500 0.000
Co: 0.341 0.860 0.346
Co: 0.717 0.000 0.284
Co: 0.659 0.140 0.654
Sm: 0.330 0.354 0.354
Co: 0.717 0.284 0.000
Co: 0.341 0.346 0.860
Co: 0.000 0.500 0.000
Co: 0.865 0.345 0.345
C: 0.500 0.000 0.500
Co: 0.135 0.655 0.655
Sm: 0.670 0.646 0.646
Co: 0.659 0.654 0.140
Co: 0.500 0.000 0.000
Co: 0.283 0.000 0.716
Co: 0.283 0.716 0.000
Co: 0.000 0.280 0.720
Co: 0.000 0.720 0.280
Co: 0.906 0.904 0.904
Co: 0.094 0.096 0.096
Co: 0.000 0.000 0.500

## Properties
Symmetry: No. 12
Mass density in Mg/m³: 8.61
D(E_F) in states/eV per cell: 24.79
ΔH_f (0 K) in eV per atom: -0.0291
V in Å³ per cell: 255.8
Total moment in μB per atom: 1.024

---

SmCo4C2 | PBE | optimized geometry

a = 3.484 Å, b = 3.502 Å, c = 6.775 Å
α = 104.98°, β = 90.00°, γ = 90.00°
Fractional positions:
C: 0.500 0.379 0.758
C: 0.500 0.621 0.242
Co: 0.000 0.319 0.637
Co: 0.000 0.681 0.363
Co: 0.500 0.821 0.642
Sm: 0.000 0.000 0.000
Co: 0.500 0.179 0.358

## Properties
Symmetry: No. 65
Mass density in Mg/m³: 8.53
D(E_F) in states/eV per cell: 6.96
ΔH_f (0 K) in eV per atom: -0.0534
V in Å³ per cell: 79.9
Total moment in μB per atom: 0.000